Entry 1:
This record from Alexandria via LeMat-Bulk describes a geometry-optimized Mg2InFe structure. The functional is PBE.

abc: 7.7630 7.7630 5.5283
angles: 90.00 90.00 90.00
Space group I-42d (No. 122)
Asymmetric unit:
Mg1 0.2117 0.2500 0.1250 [8 per cell]
In1 0.0000 0.0000 0.5000 [4 per cell]
Fe1 0.0000 0.0000 0.0000 [4 per cell]

* crystal system: tetragonal
* final energy: -50.5 eV/cell
* ΔE_f: 0.44 eV/atom

***

Entry 2:
This record from Alexandria via LeMat-Bulk describes a geometry-optimized MgInFe2 structure. The functional is PBE.

abc: 3.9413 3.9413 8.1015
angles: 90.00 90.00 90.00
Space group I-4m2 (No. 119)
Asymmetric unit:
Mg1 0.0000 0.0000 0.0000 [2 per cell]
In1 0.0000 0.5000 0.2500 [2 per cell]
Fe1 0.0000 0.0000 0.5000 [2 per cell]
Fe2 0.0000 0.5000 0.7500 [2 per cell]

* crystal system: tetragonal
* final energy: -40.8 eV/cell
* ΔE_f: 0.21 eV/atom

***

Entry 3:
This record from Alexandria via LeMat-Bulk describes a geometry-optimized MgIn2Fe structure. The functional is PBE.

abc: 3.0705 4.9431 5.1232
angles: 90.00 90.00 90.00
Space group Pmm2 (No. 25)
Asymmetric unit:
Mg1 0.0000 0.0000 0.0000 [1 per cell]
In1 0.5000 0.0000 0.5201 [1 per cell]
In2 0.5000 0.5000 0.1635 [1 per cell]
Fe1 0.0000 0.5000 0.6826 [1 per cell]

* crystal system: orthorhombic
* final energy: -14.7 eV/cell
* ΔE_f: 0.21 eV/atom

***

Entry 4:
This record from Alexandria via LeMat-Bulk describes a geometry-optimized MgIn2Fe structure. The functional is PBE.

abc: 6.0229 8.5112 3.0728
angles: 90.00 90.00 90.00
Space group Cmmm (No. 65)
Asymmetric unit:
Mg1 0.0000 0.0000 0.0000 [2 per cell]
In1 0.2500 0.2500 0.5000 [4 per cell]
Fe1 0.0000 0.5000 0.0000 [2 per cell]

* crystal system: orthorhombic
* final energy: -29.3 eV/cell
* ΔE_f: 0.22 eV/atom

***

Entry 5:
This record from Alexandria via LeMat-Bulk describes a geometry-optimized MgInFe2 structure. The functional is PBE.

abc: 9.9928 3.1949 4.4701
angles: 90.00 116.27 90.00
Space group Cm (No. 8)
Asymmetric unit:
Mg1 0.0000 0.0000 0.0000 [2 per cell]
In1 0.2796 0.5000 0.2803 [2 per cell]
Fe1 0.0416 0.5000 0.5419 [2 per cell]
Fe2 0.2339 0.0000 0.7345 [2 per cell]

* crystal system: monoclinic
* final energy: -41.4 eV/cell
* ΔE_f: 0.14 eV/atom

***

Entry 6:
This record from Alexandria via LeMat-Bulk describes a geometry-optimized MgInFe2 structure. The functional is PBE.

abc: 2.8332 3.9815 5.6207
angles: 90.00 90.00 90.00
Space group Pmmm (No. 47)
Asymmetric unit:
Mg1 0.0000 0.0000 0.0000 [1 per cell]
In1 0.0000 0.0000 0.5000 [1 per cell]
Fe1 0.5000 0.5000 0.2357 [2 per cell]

* crystal system: orthorhombic
* final energy: -20.2 eV/cell
* ΔE_f: 0.26 eV/atom

***

Entry 7:
This record from Alexandria via LeMat-Bulk describes a geometry-optimized Mg2InFe structure. The functional is PBE.

abc: 4.1387 4.1387 8.4530
angles: 90.00 90.00 90.00
Space group I-4m2 (No. 119)
Asymmetric unit:
Mg1 0.0000 0.0000 0.0000 [2 per cell]
Mg2 0.0000 0.5000 0.2500 [2 per cell]
In1 0.0000 0.0000 0.5000 [2 per cell]
Fe1 0.0000 0.5000 0.7500 [2 per cell]

* crystal system: tetragonal
* final energy: -27.6 eV/cell
* ΔE_f: 0.15 eV/atom

***

Entry 8:
This record from Alexandria via LeMat-Bulk describes a geometry-optimized MgInFe2 structure. The functional is PBE.

abc: 2.8658 2.8658 7.8162
angles: 90.00 90.00 90.00
Space group P4/mmm (No. 123)
Asymmetric unit:
Mg1 0.0000 0.0000 0.0000 [1 per cell]
In1 0.0000 0.0000 0.5000 [1 per cell]
Fe1 0.5000 0.5000 0.2464 [2 per cell]

* crystal system: tetragonal
* final energy: -20.0 eV/cell
* ΔE_f: 0.31 eV/atom

***

Entry 9:
This record from Alexandria via LeMat-Bulk describes a geometry-optimized MgInFe2 structure. The functional is PBE.

abc: 3.9100 3.9729 4.0306
angles: 90.00 90.00 90.00
Space group Pmmm (No. 47)
Asymmetric unit:
Mg1 0.0000 0.0000 0.0000 [1 per cell]
In1 0.5000 0.5000 0.0000 [1 per cell]
Fe1 0.0000 0.5000 0.5000 [1 per cell]
Fe2 0.5000 0.0000 0.5000 [1 per cell]

* crystal system: orthorhombic
* final energy: -20.4 eV/cell
* ΔE_f: 0.22 eV/atom

***

Entry 10:
This record from Alexandria via LeMat-Bulk describes a geometry-optimized Mg2InFe structure. The functional is PBE.

abc: 3.1856 4.7212 9.8295
angles: 90.00 90.00 90.00
Space group Immm (No. 71)
Asymmetric unit:
Mg1 0.0000 0.0000 0.2226 [4 per cell]
In1 0.0000 0.5000 0.0000 [2 per cell]
Fe1 0.0000 0.5000 0.5000 [2 per cell]

* crystal system: orthorhombic
* final energy: -27.5 eV/cell
* ΔE_f: 0.16 eV/atom

***

Entry 11:
This record from Alexandria via LeMat-Bulk describes a geometry-optimized Mg2InFe structure. The functional is PBE.

abc: 3.1165 3.9780 6.0908
angles: 90.00 90.35 90.00
Space group P2/m (No. 10)
Asymmetric unit:
Mg1 0.0010 0.0000 0.2752 [2 per cell]
In1 0.5000 0.5000 0.0000 [1 per cell]
Fe1 0.5000 0.5000 0.5000 [1 per cell]

* crystal system: monoclinic
* final energy: -13.7 eV/cell
* ΔE_f: 0.18 eV/atom

***

Entry 12:
This record from Alexandria via LeMat-Bulk describes a geometry-optimized MgInFe2 structure. The functional is PBE.

abc: 2.8543 4.2596 5.4235
angles: 90.00 103.03 90.00
Space group Pm (No. 6)
Asymmetric unit:
Mg1 0.0000 0.0000 0.0000 [1 per cell]
In1 0.2812 0.5000 0.6840 [1 per cell]
Fe1 0.5970 0.0000 0.4423 [1 per cell]
Fe2 0.6816 0.5000 0.2219 [1 per cell]

* crystal system: monoclinic
* final energy: -20.5 eV/cell
* ΔE_f: 0.20 eV/atom

***

Entry 13:
This record from Alexandria via LeMat-Bulk describes a geometry-optimized MgIn2Fe structure. The functional is PBE.

abc: 3.0633 3.0633 8.7408
angles: 90.00 90.00 90.00
Space group P4mm (No. 99)
Asymmetric unit:
Mg1 0.0000 0.0000 0.0000 [1 per cell]
In1 0.0000 0.0000 0.4070 [1 per cell]
In2 0.5000 0.5000 0.7126 [1 per cell]
Fe1 0.5000 0.5000 0.1991 [1 per cell]

* crystal system: tetragonal
* final energy: -14.8 eV/cell
* ΔE_f: 0.19 eV/atom

***

Entry 14:
This record from Alexandria via LeMat-Bulk describes a geometry-optimized Mg4InFe structure. The functional is PBE.

abc: 8.0151 8.0151 8.0151
angles: 90.00 90.00 90.00
Space group F-43m (No. 216)
Asymmetric unit:
Mg1 0.1246 0.1246 0.1246 [16 per cell]
In1 0.0000 0.0000 0.5000 [4 per cell]
Fe1 0.2500 0.2500 0.7500 [4 per cell]

* crystal system: cubic
* final energy: -61.2 eV/cell
* ΔE_f: 0.38 eV/atom

***

Entry 15:
This record from Alexandria via LeMat-Bulk describes a geometry-optimized MgInFe structure. The functional is PBE.

abc: 4.5864 4.5864 2.9734
angles: 90.00 90.00 120.00
Space group P3m1 (No. 156)
Asymmetric unit:
Mg1 0.0000 0.0000 0.0000 [1 per cell]
In1 0.3333 0.6667 0.5915 [1 per cell]
Fe1 0.6667 0.3333 0.3822 [1 per cell]

* crystal system: trigonal
* final energy: -12.0 eV/cell
* ΔE_f: 0.27 eV/atom

***

Entry 16:
This record from Alexandria via LeMat-Bulk describes a geometry-optimized Mg2InFe structure. The functional is PBE.

abc: 5.7463 9.4442 2.9452
angles: 90.00 109.32 90.00
Space group C2/m (No. 12)
Asymmetric unit:
Mg1 0.2500 0.2500 0.0000 [4 per cell]
In1 0.0000 0.0000 0.5000 [2 per cell]
Fe1 0.0000 0.5000 0.5000 [2 per cell]

* crystal system: monoclinic
* final energy: -27.0 eV/cell
* ΔE_f: 0.22 eV/atom

***

Entry 17:
This record from Alexandria via LeMat-Bulk describes a geometry-optimized MgIn2Fe structure. The functional is PBE.

abc: 4.3172 4.3172 19.2950
angles: 90.00 90.00 90.00
Space group I-42d (No. 122)
Asymmetric unit:
Mg1 0.0000 0.0000 0.0000 [4 per cell]
In1 0.2307 0.2500 0.6250 [8 per cell]
Fe1 0.0000 0.0000 0.5000 [4 per cell]

* crystal system: tetragonal
* final energy: -55.5 eV/cell
* ΔE_f: 0.42 eV/atom

***

Entry 18:
This record from Alexandria via LeMat-Bulk describes a geometry-optimized Mg2InFe structure. The functional is PBE.

abc: 5.9136 8.3111 3.1038
angles: 90.00 90.00 90.00
Space group Cmmm (No. 65)
Asymmetric unit:
Mg1 0.2500 0.2500 0.0000 [4 per cell]
In1 0.0000 0.0000 0.5000 [2 per cell]
Fe1 0.0000 0.5000 0.5000 [2 per cell]

* crystal system: orthorhombic
* final energy: -27.2 eV/cell
* ΔE_f: 0.19 eV/atom

***

Entry 19:
This record from Alexandria via LeMat-Bulk describes a geometry-optimized MgIn2Fe structure. The functional is PBE.

abc: 4.1517 4.1517 8.9710
angles: 90.00 90.00 90.00
Space group I-4m2 (No. 119)
Asymmetric unit:
Mg1 0.0000 0.0000 0.0000 [2 per cell]
In1 0.0000 0.0000 0.5000 [2 per cell]
In2 0.0000 0.5000 0.2500 [2 per cell]
Fe1 0.0000 0.5000 0.7500 [2 per cell]

* crystal system: tetragonal
* final energy: -29.5 eV/cell
* ΔE_f: 0.19 eV/atom

***

Entry 20:
This record from Alexandria via LeMat-Bulk describes a geometry-optimized MgInFe2 structure. The functional is PBE.

abc: 5.6080 7.9786 2.8462
angles: 90.00 91.06 90.00
Space group C2/m (No. 12)
Asymmetric unit:
Mg1 0.0000 0.0000 0.0000 [2 per cell]
In1 0.0000 0.5000 0.0000 [2 per cell]
Fe1 0.2500 0.2500 0.5000 [4 per cell]

* crystal system: monoclinic
* final energy: -40.4 eV/cell
* ΔE_f: 0.27 eV/atom